The following is a DFT calculation (GGA-PBEsol) of K2SbSe after structural relaxation.

## Properties
crystal system	cubic
distance to the lowest polymorph of the same formula	24.1	kJ/mol of atoms
density of states at the Fermi level	2.92	states/eV/cell

abc: 5.546 5.546 5.546
angles: 60.00 60.00 60.00
Fractional positions:
Sb: 0.500 0.500 0.500
Se: 0.250 0.250 0.250
K: 0.000 0.000 0.000
K: 0.750 0.750 0.750